Record 1
Crystalline Tb4ThAu5 at its relaxed geometry. Source: the Alexandria database, functional PBE.

The space group is P4/mmm (No. 123) and the conventional cell measures 3.596, 3.596 and 18.523 Å, with angles of 90.00, 90.00 and 90.00 degrees. The distinct sites, in fractional coordinates, are Tb at (0.000, 0.000, 0.099), Tb at (0.000, 0.000, 0.295), Th at (0.000, 0.000, 0.500), Au at (0.500, 0.500, 0.000), Au at (0.500, 0.500, 0.197) and Au at (0.500, 0.500, 0.390).

For the density of states at the Fermi level, the calculation gives 5.96 states/eV per cell. As for the formation energy from the elements: -0.79 eV per atom.

=====

Record 2
Crystalline Tb2ThAu3 at its relaxed geometry. Source: the Alexandria database, functional PBE.

The space group is Cmmm (No. 65) and the conventional cell measures 5.210, 15.727 and 3.568 Å, with angles of 90.00, 90.00 and 90.00 degrees. The distinct sites, in fractional coordinates, are Tb at (0.000, 0.168, 0.000), Th at (0.000, 0.500, 0.000), Au at (0.000, 0.000, 0.500) and Au at (0.000, 0.328, 0.500).

For the density of states at the Fermi level, the calculation gives 10.00 states/eV per cell. As for the formation energy from the elements: -0.74 eV per atom.

=====

Record 3
Crystalline TbThTlAu at its relaxed geometry. Source: the Alexandria database, functional PBE.

The space group is F-43m (No. 216) and the conventional cell measures 7.553, 7.553 and 7.553 Å, with angles of 90.00, 90.00 and 90.00 degrees. The distinct sites, in fractional coordinates, are Tb at (0.000, 0.000, 0.000), Th at (0.000, 0.000, 0.500), Tl at (0.250, 0.250, 0.250) and Au at (0.250, 0.250, 0.750).

For the density of states at the Fermi level, the calculation gives 13.27 states/eV per cell. The calculation puts the energy above the most stable polymorph in this dataset at 85 meV per atom. As for the formation energy from the elements: -0.39 eV per atom.

=====

Record 4
Crystalline TbThTlAu at its relaxed geometry. Source: the Alexandria database, functional PBE.

The space group is P4mm (No. 99) and the conventional cell measures 3.586, 3.586 and 8.246 Å, with angles of 90.00, 90.00 and 90.00 degrees. The distinct sites, in fractional coordinates, are Tb at (0.000, 0.000, 0.000), Th at (0.000, 0.000, 0.460), Tl at (0.500, 0.500, 0.738) and Au at (0.500, 0.500, 0.208).

For the density of states at the Fermi level, the calculation gives 3.15 states/eV per cell. The calculation puts the energy above the most stable polymorph in this dataset at 0 meV per atom. As for the formation energy from the elements: -0.48 eV per atom.

=====

Record 5
Crystalline TbThZnAu at its relaxed geometry. Source: the Alexandria database, functional PBE.

The space group is F-43m (No. 216) and the conventional cell measures 7.325, 7.325 and 7.325 Å, with angles of 90.00, 90.00 and 90.00 degrees. The distinct sites, in fractional coordinates, are Tb at (0.000, 0.000, 0.000), Th at (0.000, 0.000, 0.500), Zn at (0.250, 0.250, 0.750) and Au at (0.250, 0.250, 0.250).

For the density of states at the Fermi level, the calculation gives 16.50 states/eV per cell. The calculation puts the energy above the most stable polymorph in this dataset at 45 meV per atom. As for the formation energy from the elements: -0.43 eV per atom.

=====

Record 6
Crystalline TbThZnAu at its relaxed geometry. Source: the Alexandria database, functional PBE.

The space group is Amm2 (No. 38) and the conventional cell measures 4.570, 3.831 and 11.400 Å, with angles of 90.00, 90.00 and 90.00 degrees. The distinct sites, in fractional coordinates, are Tb at (0.000, 0.000, 0.000), Th at (0.500, 0.000, 0.291), Zn at (0.000, 0.000, 0.718) and Au at (0.500, 0.000, 0.567).

For the density of states at the Fermi level, the calculation gives 9.65 states/eV per cell. The calculation puts the energy above the most stable polymorph in this dataset at 0 meV per atom. As for the formation energy from the elements: -0.47 eV per atom.